1.
# Pu2TlPtO8, relaxed, DFT PBE-GGA
# Energy relative to the elements, uncorrected, eV per atom: -1.51
data_Pu2TlPtO8
_cell_length_a 5.980
_cell_length_b 5.980
_cell_length_c 7.347
_cell_angle_alpha 90.00
_cell_angle_beta 90.00
_cell_angle_gamma 120.00
_symmetry_space_group_name_H-M 'P 1'
_symmetry_Int_Tables_number 1
_symmetry_space_group_name_Hall 'P 1'
loop_
_atom_site_label
_atom_site_type_symbol
_atom_site_fract_x
_atom_site_fract_y
_atom_site_fract_z
_atom_site_occupancy
O1 O 0.667 0.333 0.533 1
O2 O 0.313 0.157 0.158 1
O3 O 0.843 0.687 0.158 1
O4 O 0.333 0.667 0.467 1
O5 O 0.157 0.313 0.842 1
O6 O 0.687 0.843 0.842 1
O7 O 0.157 0.843 0.842 1
O8 O 0.843 0.157 0.158 1
Pt1 Pt 0.000 0.000 0.000 1
Tl1 Tl 0.000 0.000 0.500 1
Pu1 Pu 0.333 0.667 0.724 1
Pu2 Pu 0.667 0.333 0.276 1


2.
# YPuPtO6, relaxed, DFT PBE-GGA
# Energy relative to the elements, uncorrected, eV per atom: -2.22
data_YPuPtO6
_cell_length_a 5.354
_cell_length_b 5.354
_cell_length_c 10.082
_cell_angle_alpha 90.00
_cell_angle_beta 90.00
_cell_angle_gamma 120.00
_symmetry_space_group_name_H-M 'P 1'
_symmetry_Int_Tables_number 1
_symmetry_space_group_name_Hall 'P 1'
loop_
_atom_site_label
_atom_site_type_symbol
_atom_site_fract_x
_atom_site_fract_y
_atom_site_fract_z
_atom_site_occupancy
Pt1 Pt 0.667 0.333 0.750 1
Pt2 Pt 0.333 0.667 0.250 1
O1 O 0.354 0.015 0.635 1
O2 O 0.339 0.354 0.365 1
O3 O 0.985 0.339 0.635 1
O4 O 0.985 0.646 0.865 1
O5 O 0.015 0.354 0.135 1
O6 O 0.661 0.015 0.865 1
O7 O 0.646 0.661 0.135 1
O8 O 0.661 0.646 0.635 1
O9 O 0.339 0.985 0.135 1
O10 O 0.646 0.985 0.365 1
O11 O 0.354 0.339 0.865 1
O12 O 0.015 0.661 0.365 1
Y1 Y 0.000 0.000 0.000 1
Y2 Y 0.000 0.000 0.500 1
Pu1 Pu 0.667 0.333 0.250 1
Pu2 Pu 0.333 0.667 0.750 1


Q: Look up the energy relative to the elements, uncorrected of the second one.
A: -2.22 eV per atom


Q: Among the records above, which one has the lowest energy relative to the elements, uncorrected?
A: YPuPtO6